A plane-wave DFT calculation with PBE-GGA was carried out for an optimized crystal structure of Mg2AlZn.

POSCAR file:
```
Mg2AlZn
1.0
3.056 0.000 0.000
0.000 4.094 0.000
-0.086 0.000 6.003
Mg Al Zn
2 1 1
direct
0.005 0.000 0.254
0.995 0.000 0.746
0.500 0.500 0.000
0.500 0.500 0.500
```

The total moment is 0.0 μB/cell. The total energy comes out at -2.077 eV per atom. For the energy of formation from the pure elements, the calculation gives -26 meV/atom.